Material: LaCo2SnF
Method: DFT, PBE with a Hubbard U
State: optimized geometry

Geometry as CIF:
```
data_LaCo2SnF
_cell_length_a 5.070
_cell_length_b 5.070
_cell_length_c 4.621
_cell_angle_alpha 90.00
_cell_angle_beta 90.00
_cell_angle_gamma 90.00
_space_group_name_H-M_alt 'P 4/m m m'
_space_group_IT_number 123
_space_group_name_Hall '-P 4 2'
loop_
_atom_site_label
_atom_site_type_symbol
_atom_site_fract_x
_atom_site_fract_y
_atom_site_fract_z
La1 La 0.000 0.000 0.000
Co1 Co 0.000 0.500 0.500
Sn1 Sn 0.500 0.500 0.500
F1 F 0.500 0.500 0.000
```

Results
Magnetic moment ... 2.88 μB/cell
Volume ... 119 Å³/f.u.
E ... -0.3232 Ry per atom